[1]
A plane-wave DFT calculation with PBE-GGA was carried out for K4Na2Au2O after structural relaxation.

Cell: 12.4262 7.5039 6.1014 Å, 90.00 99.07 90.00°
With the nearest neighbours (Å) after each atom.
Space group C2/m (No. 12)
Inequivalent atoms, fractional coordinates:
K (0.0952, 0.2474, 0.3023) (multiplicity 8)  1 O 2.63
Na (0.1454, 0.5000, 0.7766) (multiplicity 4)  1 O 2.27
Au (0.1698, 0.0000, 0.8167) (multiplicity 4)  1 Na 3.10
O (0.0000, 0.5000, 0.5000) (multiplicity 2)  2 Na 2.27

Computed properties:
size of the total moment = 0.00 μB per atom
uncorrected formation energy = -0.476 eV/atom
DOS at the Fermi energy = 5.999 states/eV/cell
mass density = 3.62 g cm⁻³



[2]
A plane-wave DFT calculation with PBE-GGA was carried out for K6NaAuO after structural relaxation.

Cell: 8.2524 8.2524 14.9774 Å, 90.00 90.00 120.00°
With the nearest neighbours (Å) after each atom.
Space group P-31c (No. 163)
Inequivalent atoms, fractional coordinates:
K (0.0575, 0.4162, 0.1465) (multiplicity 12)  1 O 2.67
Na (0.0000, 0.0000, 0.0000) (multiplicity 2)  6 K 3.90
Au (0.3333, 0.6667, 0.7500) (multiplicity 2)  6 K 3.33
O (0.3333, 0.6667, 0.2500) (multiplicity 2)  6 K 2.67

Computed properties:
size of the total moment = 0.00 μB per atom
uncorrected formation energy = -0.389 eV/atom
DOS at the Fermi energy = 8.306 states/eV/cell
mass density = 1.77 g cm⁻³



[3]
A plane-wave DFT calculation with PBE-GGA was carried out for K6Na2AuO after structural relaxation.

Cell: 12.1012 12.1235 8.5622 Å, 90.00 134.86 90.00°
With the nearest neighbours (Å) after each atom.
Space group C2/m (No. 12)
Inequivalent atoms, fractional coordinates:
K (0.0000, 0.2218, 0.0000) (multiplicity 4)  1 O 2.69
K (0.2215, 0.0000, 0.4430) (multiplicity 4)  1 O 2.69
K (0.2215, 0.0000, 0.0000) (multiplicity 4)  1 O 2.68
Na (0.0000, 0.2494, 0.5000) (multiplicity 4)  12 K 4.29-4.31
Au (0.0000, 0.5000, 0.0000) (multiplicity 2)  6 K 3.37-3.38
O (0.0000, 0.0000, 0.0000) (multiplicity 2)  6 K 2.68-2.69

Computed properties:
size of the total moment = 0.00 μB per atom
uncorrected formation energy = -0.365 eV/atom
DOS at the Fermi energy = 8.007 states/eV/cell
mass density = 1.84 g cm⁻³



[4]
A plane-wave DFT calculation with PBE-GGA was carried out for K2Na4Au2O after structural relaxation.

Cell: 6.9106 6.9106 10.5495 Å, 90.00 90.00 90.00°
With the nearest neighbours (Å) after each atom.
Space group I4/mmm (No. 139)
Inequivalent atoms, fractional coordinates:
K (0.0000, 0.0000, 0.2442) (multiplicity 4)  1 O 2.58
Na (0.2305, 0.2305, 0.0000) (multiplicity 8)  1 O 2.25
Au (0.0000, 0.5000, 0.2500) (multiplicity 4)  4 K 3.46, 8 Na 3.60
O (0.0000, 0.0000, 0.0000) (multiplicity 2)  4 Na 2.25

Computed properties:
size of the total moment = 0.00 μB per atom
uncorrected formation energy = -0.495 eV/atom
DOS at the Fermi energy = 6.081 states/eV/cell
mass density = 3.82 g cm⁻³



[5]
A plane-wave DFT calculation with PBE-GGA was carried out for K5NaAuO2 after structural relaxation.

Cell: 5.3790 5.3790 9.9276 Å, 90.00 90.00 90.00°
With the nearest neighbours (Å) after each atom.
Space group P4/mmm (No. 123)
Inequivalent atoms, fractional coordinates:
K (0.0000, 0.0000, 0.0000) (multiplicity 1)  2 O 2.71
K (0.0000, 0.5000, 0.2566) (multiplicity 4)  2 O 2.69
Na (0.0000, 0.0000, 0.5000) (multiplicity 1)  2 O 2.25
Au (0.5000, 0.5000, 0.0000) (multiplicity 1)  12 K 3.70-3.80
O (0.0000, 0.0000, 0.2732) (multiplicity 2)  1 Na 2.25

Computed properties:
size of the total moment = 0.00 μB per atom
uncorrected formation energy = -0.773 eV/atom
DOS at the Fermi energy = 3.191 states/eV/cell
mass density = 2.59 g cm⁻³



[6]
A plane-wave DFT calculation with PBE-GGA was carried out for K2NaPbAu after structural relaxation.

Cell: 6.3124 6.3124 5.5893 Å, 90.00 90.00 90.00°
With the nearest neighbours (Å) after each atom.
Space group P4/mmm (No. 123)
Inequivalent atoms, fractional coordinates:
K (0.0000, 0.5000, 0.0000) (multiplicity 2)  2 Au 3.16
Na (0.0000, 0.0000, 0.5000) (multiplicity 1)  8 K 4.22, 4 Pb 4.46
Pb (0.5000, 0.5000, 0.5000) (multiplicity 1)  2 Au 2.79
Au (0.5000, 0.5000, 0.0000) (multiplicity 1)  2 Pb 2.79

Computed properties:
size of the total moment = 0.00 μB per atom
DOS at the Fermi energy = 2.846 states/eV/cell
energy of formation = -70 meV per atom
mass density = 3.77 g cm⁻³



[7]
A plane-wave DFT calculation with PBE-GGA was carried out for K2Na6PbAu after structural relaxation.

Cell: 11.9189 11.9189 11.9189 Å, 90.00 90.00 90.00°
With the nearest neighbours (Å) after each atom.
Space group Fm-3m (No. 225)
Inequivalent atoms, fractional coordinates:
K (0.2500, 0.2500, 0.2500) (multiplicity 8)  12 Na 4.22
Na (0.0000, 0.0000, 0.2415) (multiplicity 24)  1 Au 2.88, 1 Pb 3.08
Pb (0.0000, 0.0000, 0.5000) (multiplicity 4)  6 Na 3.08
Au (0.0000, 0.0000, 0.0000) (multiplicity 4)  6 Na 2.88

Computed properties:
size of the total moment = 0.00 μB per atom
DOS at the Fermi energy = 26.553 states/eV/cell
energy of formation = -67 meV per atom
mass density = 2.43 g cm⁻³



[8]
A plane-wave DFT calculation with PBE-GGA was carried out for KNaPbAu after structural relaxation.

Cell: 7.5796 7.5796 7.5796 Å, 90.00 90.00 90.00°
With the nearest neighbours (Å) after each atom.
Space group F-43m (No. 216)
Inequivalent atoms, fractional coordinates:
K (0.0000, 0.0000, 0.0000) (multiplicity 4)  4 Na 3.28, 4 Au 3.28
Na (0.2500, 0.2500, 0.7500) (multiplicity 4)  4 Pb 3.28, 4 K 3.28
Pb (0.0000, 0.0000, 0.5000) (multiplicity 4)  4 Au 3.28, 4 Na 3.28
Au (0.2500, 0.2500, 0.2500) (multiplicity 4)  4 K 3.28, 4 Pb 3.28

Computed properties:
size of the total moment = 0.00 μB per atom
DOS at the Fermi energy = 7.119 states/eV/cell
energy of formation = -130 meV per atom
mass density = 7.11 g cm⁻³